Be2AlZn | the Alexandria database | GGA-PBE | relaxed; space-group type = F-43m; energy relative to the elements = 0.367 eV per atom; E above lowest polymorph = 0.1902 eV/atom
1.0
0.000 2.904 2.904
2.904 0.000 2.904
2.904 2.904 0.000
Be Al Zn
2 1 1
direct
0.000 0.000 0.000
0.250 0.250 0.250
0.500 0.500 0.500
0.750 0.750 0.750

---

BeAlZn2 | the Alexandria database | GGA-PBE | relaxed; space-group type = C2/m; energy relative to the elements = 0.153 eV per atom; E above lowest polymorph = 0.0260 eV/atom
1.0
4.517 -1.374 0.000
4.517 1.374 0.000
-0.655 0.000 4.471
Be Al Zn
1 1 2
direct
0.000 0.000 0.000
0.500 0.500 0.500
0.259 0.259 0.762
0.741 0.741 0.238